This record from Alexandria describes a relaxed Ho2TlCuTe4 crystal. The functional is PBE. Values from VASP.

Geometry as Quantum ESPRESSO input:
```
&SYSTEM
  ibrav = 0, nat = 16, ntyp = 4
/
ATOMIC_SPECIES
Ho 164.93 Ho.upf
Te 127.60 Te.upf
Cu 63.55 Cu.upf
Tl 204.38 Tl.upf
CELL_PARAMETERS angstrom
-2.599 -2.869 1.973
5.974 1.220 4.861
-7.700 11.501 6.577
ATOMIC_POSITIONS angstrom
Ho -3.763 10.574 10.417
Ho -3.382 3.489 5.402
Te -3.850 5.750 3.289
Te -3.858 5.522 7.731
Te -0.467 4.330 5.680
Ho -0.944 6.363 8.009
Te -5.960 8.661 9.526
Cu -3.881 7.045 9.915
Tl -4.682 8.575 6.300
Te 1.634 1.191 3.885
Cu -0.445 2.807 3.496
Te 0.000 0.000 0.000
Te -2.676 1.416 3.317
Tl 0.357 1.277 7.111
Ho -0.562 -0.722 2.994
Te -1.650 8.436 10.093
```

## Properties
- Raw formation energy: -7.63 eV/f.u.
- Electronic total energy: -4.4771 eV/atom
- Calculated volume: 499 Å³ per cell
- Size of the total moment: 0.00 μB/atom

This record from Alexandria describes a relaxed ZnRe2Se crystal. The functional is PBE. Values from VASP.

Geometry as Quantum ESPRESSO input:
```
&SYSTEM
  ibrav = 0, nat = 4, ntyp = 3
/
ATOMIC_SPECIES
Re 186.21 Re.upf
Zn 65.41 Zn.upf
Se 78.96 Se.upf
CELL_PARAMETERS angstrom
4.441 0.000 0.000
2.220 3.846 0.000
2.220 1.282 3.626
ATOMIC_POSITIONS angstrom
Re 2.220 1.282 0.906
Zn 6.661 3.846 2.719
Se 4.441 2.564 1.813
Re 0.000 0.000 0.000
```

## Properties
- Raw formation energy: 2.55 eV/f.u.
- Energy above the most stable polymorph in this dataset: 440 meV per atom
- Electronic total energy: -6.7773 eV/atom
- Calculated volume: 62 Å³ per cell
- Size of the total moment: 0.00 μB/atom

This record from Alexandria describes a relaxed ScCr4Br crystal. The functional is PBE. Values from VASP.

Geometry as Quantum ESPRESSO input:
```
&SYSTEM
  ibrav = 0, nat = 6, ntyp = 3
/
ATOMIC_SPECIES
Sc 44.96 Sc.upf
Cr 52.00 Cr.upf
Br 79.90 Br.upf
CELL_PARAMETERS angstrom
0.000 3.529 3.529
3.529 0.000 3.529
3.529 3.529 0.000
ATOMIC_POSITIONS angstrom
Sc 1.764 1.764 1.764
Cr 4.414 2.644 2.644
Br 0.000 0.000 0.000
Cr 4.414 4.414 4.414
Cr 2.644 4.414 2.644
Cr 2.644 2.644 4.414
```

## Properties
- Raw formation energy: 3.67 eV/f.u.
- Electronic total energy: -7.1375 eV/atom
- Calculated volume: 88 Å³ per cell
- Size of the total moment: 0.00 μB/atom

This record from Alexandria describes a relaxed BeNi2HRh crystal. The functional is PBE. Values from VASP.

Geometry as Quantum ESPRESSO input:
```
&SYSTEM
  ibrav = 0, nat = 5, ntyp = 4
/
ATOMIC_SPECIES
Ni 58.69 Ni.upf
Be 9.01 Be.upf
Rh 102.91 Rh.upf
H 1.01 H.upf
CELL_PARAMETERS angstrom
3.493 0.000 0.000
0.000 3.493 0.000
0.000 0.000 3.878
ATOMIC_POSITIONS angstrom
Ni 0.000 1.746 0.000
Be 1.746 1.746 1.939
Rh 0.000 0.000 1.939
Ni 1.746 0.000 0.000
H 0.000 0.000 0.000
```

## Properties
- Energy above the most stable polymorph in this dataset: 0 meV per atom
- Electronic total energy: -5.3534 eV/atom
- Calculated volume: 47 Å³ per cell
- Size of the total moment: 0.24 μB/atom

This record from Alexandria describes a relaxed DyIn2TcO8 crystal. The functional is PBE. Values from VASP.

Geometry as Quantum ESPRESSO input:
```
&SYSTEM
  ibrav = 0, nat = 12, ntyp = 4
/
ATOMIC_SPECIES
O 16.00 O.upf
In 114.82 In.upf
Dy 162.50 Dy.upf
Tc 98.00 Tc.upf
CELL_PARAMETERS angstrom
-2.282 4.117 -1.612
-3.753 -0.993 3.111
2.970 3.485 4.696
ATOMIC_POSITIONS angstrom
O -4.321 2.236 1.074
O -1.934 3.909 0.225
O -1.130 2.700 5.971
In -2.277 2.431 1.921
Dy 1.485 1.743 2.348
O -0.197 5.947 2.971
O -2.687 3.900 3.386
O -0.377 2.709 2.809
O -2.867 0.662 3.224
O 1.256 4.373 5.121
Tc 0.000 0.000 0.000
In -0.788 4.178 4.274
```

## Properties
- Raw formation energy: -21.29 eV/f.u.
- Electronic total energy: -6.7832 eV/atom
- Calculated volume: 162 Å³ per cell
- Size of the total moment: 0.00 μB/atom

This record from Alexandria describes a relaxed BaTbSe2 crystal. The functional is PBE. Values from VASP.

Geometry as Quantum ESPRESSO input:
```
&SYSTEM
  ibrav = 0, nat = 4, ntyp = 3
/
ATOMIC_SPECIES
Tb 158.93 Tb.upf
Ba 137.33 Ba.upf
Se 78.96 Se.upf
CELL_PARAMETERS angstrom
4.228 0.000 0.000
2.114 3.662 0.000
2.114 1.221 7.707
ATOMIC_POSITIONS angstrom
Tb 6.342 3.662 7.644
Ba 4.228 2.441 3.937
Se 2.114 1.221 1.619
Se 2.114 1.221 6.067
```

## Properties
- Raw formation energy: -7.32 eV/f.u.
- Energy above the most stable polymorph in this dataset: 56 meV per atom
- Electronic total energy: -5.2109 eV/atom
- Calculated volume: 119 Å³ per cell
- Size of the total moment: 0.00 μB/atom

This record from Alexandria describes a relaxed Pr3Nd4Ni4 crystal. The functional is PBE. Values from VASP.

Geometry as Quantum ESPRESSO input:
```
&SYSTEM
  ibrav = 0, nat = 11, ntyp = 3
/
ATOMIC_SPECIES
Nd 144.24 Nd.upf
Pr 140.91 Pr.upf
Ni 58.69 Ni.upf
CELL_PARAMETERS angstrom
-0.967 4.550 1.205
-6.929 -0.689 -2.957
1.289 -4.292 7.660
ATOMIC_POSITIONS angstrom
Nd -3.312 1.289 2.057
Pr -0.537 -0.477 1.371
Pr -6.070 0.046 4.537
Nd -3.296 -1.720 3.851
Ni -6.298 1.697 -1.878
Ni -1.599 2.164 0.127
Ni -4.544 -1.303 1.275
Pr -3.465 -0.345 -1.478
Nd -6.372 0.985 0.751
Ni -2.063 0.872 4.633
Nd -0.236 -1.416 5.157
```

## Properties
- Electronic total energy: -5.2801 eV/atom
- Calculated volume: 278 Å³ per cell
- Size of the total moment: 0.00 μB/atom

This record from Alexandria describes a relaxed SrGeH2Rh2 crystal. The functional is PBE. Values from VASP.

Geometry as Quantum ESPRESSO input:
```
&SYSTEM
  ibrav = 0, nat = 12, ntyp = 4
/
ATOMIC_SPECIES
H 1.01 H.upf
Ge 72.64 Ge.upf
Sr 87.62 Sr.upf
Rh 102.91 Rh.upf
CELL_PARAMETERS angstrom
5.841 0.000 0.000
0.000 4.469 0.518
0.000 -1.216 6.872
ATOMIC_POSITIONS angstrom
H 4.381 1.469 2.262
Ge 1.460 -0.095 6.170
Sr 1.460 3.003 2.994
Rh 0.116 2.267 6.197
Rh 3.037 0.986 1.193
Ge 4.381 3.348 1.220
H 1.460 1.785 5.129
H 4.381 2.404 5.337
Rh 5.725 0.986 1.193
Sr 4.381 0.250 4.396
H 1.460 0.849 2.053
Rh 2.804 2.267 6.197
```

## Properties
- Electronic total energy: -5.0494 eV/atom
- Calculated volume: 183 Å³ per cell
- Size of the total moment: 0.00 μB/atom

This record from Alexandria describes a relaxed Pr3Sn2 crystal. The functional is PBE. Values from VASP.

Geometry as Quantum ESPRESSO input:
```
&SYSTEM
  ibrav = 0, nat = 10, ntyp = 2
/
ATOMIC_SPECIES
Sn 118.71 Sn.upf
Pr 140.91 Pr.upf
CELL_PARAMETERS angstrom
-1.490 6.135 -0.814
1.942 -0.331 -6.053
-7.629 -5.000 1.172
ATOMIC_POSITIONS angstrom
Sn -3.605 -1.462 -4.424
Sn -3.791 2.204 -1.337
Pr -1.476 -0.639 -2.112
Pr -6.035 -0.071 -1.933
Pr -0.855 3.036 -0.440
Pr -3.585 1.822 -4.597
Pr -0.504 -0.804 -5.139
Pr -5.290 -3.139 -1.526
Sn -0.648 2.654 -3.700
Sn -6.522 0.989 -5.494
```

## Properties
- Electronic total energy: -5.0471 eV/atom
- Calculated volume: 325 Å³ per cell
- Size of the total moment: 0.08 μB/atom

This record from Alexandria describes a relaxed HgOs2Cl crystal. The functional is PBE. Values from VASP.

Geometry as Quantum ESPRESSO input:
```
&SYSTEM
  ibrav = 0, nat = 4, ntyp = 3
/
ATOMIC_SPECIES
Os 190.23 Os.upf
Cl 35.45 Cl.upf
Hg 200.59 Hg.upf
CELL_PARAMETERS angstrom
-3.253 -1.427 2.823
-3.840 2.378 0.423
-3.885 -1.650 -1.664
ATOMIC_POSITIONS angstrom
Os -2.744 -0.174 0.395
Cl 0.000 0.000 0.000
Hg -5.489 -0.349 0.791
Os -8.233 -0.523 1.186
```

## Properties
- Raw formation energy: 6.83 eV/f.u.
- Energy above the most stable polymorph in this dataset: 1355 meV per atom
- Electronic total energy: -4.4438 eV/atom
- Calculated volume: 66 Å³ per cell
- Size of the total moment: 0.00 μB/atom

This record from Alexandria describes a relaxed Cd3Pd crystal. The functional is PBE. Values from VASP.

Geometry as Quantum ESPRESSO input:
```
&SYSTEM
  ibrav = 0, nat = 16, ntyp = 2
/
ATOMIC_SPECIES
Cd 112.41 Cd.upf
Pd 106.42 Pd.upf
CELL_PARAMETERS angstrom
-6.261 -0.774 -3.514
-0.206 -6.963 1.901
-3.480 1.694 5.826
ATOMIC_POSITIONS angstrom
Cd -3.130 -0.387 -1.757
Pd -7.167 -0.780 0.145
Cd -5.077 -2.465 -0.148
Pd -4.124 -4.934 -1.029
Cd -1.843 -2.635 3.864
Cd -6.299 -6.119 0.048
Cd -6.761 -1.646 2.671
Pd -2.343 -2.803 -0.584
Cd -0.103 -3.482 0.951
Cd -3.186 -4.398 1.543
Pd -2.780 -5.264 4.068
Cd -3.648 0.076 4.165
Cd -4.870 0.460 1.156
Cd -1.852 -0.798 1.158
Cd -4.870 -3.578 4.362
Cd -8.095 -5.245 3.056
```

## Properties
- Electronic total energy: -2.2035 eV/atom
- Calculated volume: 365 Å³ per cell
- Size of the total moment: 0.00 μB/atom

This record from Alexandria describes a relaxed Cs2NdGeO4 crystal. The functional is PBE. Values from VASP.

Geometry as Quantum ESPRESSO input:
```
&SYSTEM
  ibrav = 0, nat = 16, ntyp = 4
/
ATOMIC_SPECIES
Cs 132.91 Cs.upf
O 16.00 O.upf
Nd 144.24 Nd.upf
Ge 72.64 Ge.upf
CELL_PARAMETERS angstrom
5.961 0.000 0.000
2.981 6.721 0.000
2.981 0.000 12.622
ATOMIC_POSITIONS angstrom
Cs 2.981 0.000 8.023
O 3.303 2.291 5.407
O 9.264 4.430 7.215
Nd 0.000 0.000 0.000
O 4.793 5.652 0.904
O 5.639 2.291 7.215
O 4.793 1.069 11.718
Ge 2.981 0.000 0.000
Cs 5.961 0.000 4.599
Ge 4.471 3.361 6.311
O 10.110 5.652 11.718
Cs 7.451 3.361 1.712
O 4.148 1.069 0.904
O 5.639 4.430 5.407
Cs 7.451 3.361 10.910
Nd 7.451 3.361 6.311
```

## Properties
- Raw formation energy: -14.02 eV/f.u.
- Electronic total energy: -5.6185 eV/atom
- Calculated volume: 506 Å³ per cell
- Size of the total moment: 0.00 μB/atom